No. 1
Below is a relaxed structure of SmPu2Co, with properties calculated at the PBE level.

Unit cell a=3.4056 b=3.4056 c=8.2867 alpha=90.00 beta=90.00 gamma=90.00
Element x y z (fractional)
Co: 0.5000 0.5000 0.0000
Sm: 0.5000 0.5000 0.5000
Pu: 0.0000 0.0000 0.1855
Pu: 0.0000 0.0000 0.8145

Properties
V	24.03	Å³/atom

***

No. 2
Below is a relaxed structure of Nd8ZnRh2, with properties calculated at the PBE level.

Unit cell a=6.1468 b=7.8336 c=7.8336 alpha=113.66 beta=98.58 gamma=98.58
Element x y z (fractional)
Nd: 0.3748 0.6615 0.9268
Nd: 0.1867 0.3781 0.3781
Nd: 0.9877 0.2280 0.7688
Nd: 0.9877 0.7688 0.2280
Nd: 0.3748 0.9268 0.6615
Nd: 0.7972 0.6409 0.6409
Nd: 0.5901 0.3417 0.0801
Nd: 0.5901 0.0801 0.3417
Zn: 0.1370 0.0046 0.0046
Rh: 0.4868 0.3112 0.6923
Rh: 0.4868 0.6923 0.3112

Properties
V	30.22	Å³/atom

***

No. 3
Below is a relaxed structure of CaTb5Sm4, with properties calculated at the PBE level.

Unit cell a=3.6218 b=3.6218 c=25.5904 alpha=90.00 beta=90.00 gamma=90.00
Element x y z (fractional)
Sm: 0.0000 0.0000 0.2033
Sm: 0.0000 0.0000 0.5990
Sm: 0.0000 0.0000 0.7967
Sm: 0.0000 0.0000 0.4010
Tb: 0.5000 0.5000 0.8910
Tb: 0.5000 0.5000 0.3032
Tb: 0.5000 0.5000 0.6968
Tb: 0.5000 0.5000 0.5000
Tb: 0.5000 0.5000 0.1090
Ca: 0.0000 0.0000 0.0000

Properties
V	33.57	Å³/atom

***

No. 4
Below is a relaxed structure of Tb6Pm12Sc, with properties calculated at the PBE level.

Unit cell a=8.6247 b=8.6247 c=8.6247 alpha=89.18 beta=89.18 gamma=89.18
Element x y z (fractional)
Tb: 0.2597 0.0970 0.7061
Tb: 0.2939 0.7403 0.9030
Tb: 0.9030 0.2939 0.7403
Tb: 0.7061 0.2597 0.0970
Tb: 0.0970 0.7061 0.2597
Tb: 0.7403 0.9030 0.2939
Pm: 0.9820 0.8105 0.6404
Pm: 0.5358 0.4361 0.7816
Pm: 0.6404 0.9820 0.8105
Pm: 0.3596 0.0180 0.1895
Pm: 0.0180 0.1895 0.3596
Pm: 0.7816 0.5358 0.4361
Pm: 0.2184 0.4642 0.5639
Pm: 0.4361 0.7816 0.5358
Pm: 0.4642 0.5639 0.2184
Pm: 0.1895 0.3596 0.0180
Pm: 0.5639 0.2184 0.4642
Pm: 0.8105 0.6404 0.9820
Sc: 0.0000 0.0000 0.0000

Properties
V	33.76	Å³/atom

***

Spin magnetization (computed, μB per cell): 10.4, 0.0, 0.0, 0.0
Electronic total energy (computed, eV per cell): -39.97, -56.53, -43.68, -88.50